Entry 1:
DFT (PBE) results for crystalline NaTe2Os at its relaxed geometry.

Results
* crystal system: trigonal
* energy above the lowest structure with this stoichiometry: 0 meV per atom
* calculated total energy: -56.22 eV for the cell shown
* formation energy (no corrections): 0.023 eV/atom
* D(E_F): 1.117 states/eV per atom

a = 3.9985 Å, b = 3.9985 Å, c = 26.4754 Å
α = 90.00°, β = 90.00°, γ = 120.00°
Last column: nearest neighbours and their distance in Å.
Positions (direct):
Na: 0.0000 0.0000 0.0000  2 Te 3.04
Na: 0.3333 0.6667 0.6667  2 Te 3.04
Na: 0.6667 0.3333 0.3333  2 Te 3.04
Te: 0.0000 0.0000 0.1150  3 Os 2.68
Te: 0.0000 0.0000 0.8850  3 Os 2.68
Te: 0.3333 0.6667 0.5517  3 Os 2.68
Te: 0.3333 0.6667 0.7816  3 Os 2.68
Te: 0.6667 0.3333 0.2184  3 Os 2.68
Te: 0.6667 0.3333 0.4483  3 Os 2.68
Os: 0.0000 0.0000 0.5000  6 Te 2.68
Os: 0.3333 0.6667 0.1667  6 Te 2.68
Os: 0.6667 0.3333 0.8333  6 Te 2.68

***

Entry 2:
DFT (PBE) results for crystalline NaTe3Os at its relaxed geometry.

Results
* crystal system: cubic
* energy above the lowest structure with this stoichiometry: 0 meV per atom
* calculated total energy: -20.16 eV for the cell shown
* formation energy (no corrections): 0.363 eV/atom
* D(E_F): 1.214 states/eV per atom

a = 5.3438 Å, b = 5.3438 Å, c = 5.3438 Å
α = 90.00°, β = 90.00°, γ = 90.00°
Last column: nearest neighbours and their distance in Å.
Positions (direct):
Na: 0.0000 0.0000 0.0000  12 Te 3.78
Te: 0.0000 0.5000 0.5000  2 Os 2.67
Te: 0.5000 0.0000 0.5000  2 Os 2.67
Te: 0.5000 0.5000 0.0000  2 Os 2.67
Os: 0.5000 0.5000 0.5000  6 Te 2.67

***

Entry 3:
DFT (PBE) results for crystalline Na2TeOs at its relaxed geometry.

Results
* crystal system: tetragonal
* calculated total energy: -59.80 eV for the cell shown
* formation energy (no corrections): 0.515 eV/atom
* D(E_F): 0.619 states/eV per atom

a = 11.4940 Å, b = 11.4940 Å, c = 4.9190 Å
α = 90.00°, β = 90.00°, γ = 90.00°
Last column: nearest neighbours and their distance in Å.
Positions (direct):
Na: 0.0062 0.2500 0.1250  2 Os 2.94
Na: 0.2500 0.5062 0.3750  2 Os 2.94
Na: 0.2500 0.9938 0.8750  2 Os 2.94
Na: 0.4938 0.2500 0.6250  2 Os 2.94
Na: 0.5062 0.7500 0.6250  2 Os 2.94
Na: 0.7500 0.0062 0.8750  2 Os 2.94
Na: 0.7500 0.4938 0.3750  2 Os 2.94
Na: 0.9938 0.7500 0.1250  2 Os 2.94
Te: 0.0000 0.0000 0.5000  2 Os 2.46
Te: 0.0000 0.5000 0.7500  2 Os 2.46
Te: 0.5000 0.0000 0.2500  2 Os 2.46
Te: 0.5000 0.5000 0.0000  2 Os 2.46
Os: 0.0000 0.0000 0.0000  2 Te 2.46
Os: 0.0000 0.5000 0.2500  2 Te 2.46
Os: 0.5000 0.0000 0.7500  2 Te 2.46
Os: 0.5000 0.5000 0.5000  2 Te 2.46

***

Entry 4:
DFT (PBE) results for crystalline NaTe2Os at its relaxed geometry.

Results
* crystal system: tetragonal
* energy above the lowest structure with this stoichiometry: 42 meV per atom
* calculated total energy: -74.29 eV for the cell shown
* formation energy (no corrections): 0.065 eV/atom
* D(E_F): 0.631 states/eV per atom

a = 8.4617 Å, b = 8.4617 Å, c = 6.5795 Å
α = 90.00°, β = 90.00°, γ = 90.00°
Last column: nearest neighbours and their distance in Å.
Positions (direct):
Na: 0.0000 0.0000 0.0000  2 Os 3.29, 4 Te 3.46
Na: 0.0000 0.5000 0.2500  2 Os 3.29, 4 Te 3.46
Na: 0.5000 0.0000 0.7500  2 Os 3.29, 4 Te 3.46
Na: 0.5000 0.5000 0.5000  2 Os 3.29, 4 Te 3.46
Te: 0.1411 0.2500 0.6250  2 Os 2.56
Te: 0.2500 0.6411 0.8750  2 Os 2.56
Te: 0.2500 0.8589 0.3750  2 Os 2.56
Te: 0.3589 0.2500 0.1250  2 Os 2.56
Te: 0.6411 0.7500 0.1250  2 Os 2.56
Te: 0.7500 0.1411 0.3750  2 Os 2.56
Te: 0.7500 0.3589 0.8750  2 Os 2.56
Te: 0.8589 0.7500 0.6250  2 Os 2.56
Os: 0.0000 0.0000 0.5000  4 Te 2.56
Os: 0.0000 0.5000 0.7500  4 Te 2.56
Os: 0.5000 0.0000 0.2500  4 Te 2.56
Os: 0.5000 0.5000 0.0000  4 Te 2.56